# 1
# Tc2SeCl | Alexandria | GGA-PBE | optimized geometry
data_Tc2SeCl
_chemical_formula_sum 'Tc2 Se1 Cl1'
_symmetry_space_group_name_H-M 'P 1'
_symmetry_Int_Tables_number 1
_cell_length_a 2.9762
_cell_length_b 2.9762
_cell_length_c 9.9697
_cell_angle_alpha 90.00
_cell_angle_beta 90.00
_cell_angle_gamma 121.50
loop_
_symmetry_equiv_pos_as_xyz
'x,y,z'
loop_
_atom_site_label
_atom_site_type_symbol
_atom_site_fract_x
_atom_site_fract_y
_atom_site_fract_z
_atom_site_occupancy
Tc1 Tc 0.0000 0.0000 0.0000 1
Tc2 Tc 0.5000 0.5000 0.2212 1
Se1 Se 0.5000 0.5000 0.7928 1
Cl1 Cl 0.0000 0.0000 0.4163 1
# Energy relative to the elements, uncorrected (kJ per mole of atoms): 34.03
# D(E_F) (states/eV/atom): 1.277
# Offset from the most stable computed form (eV per formula unit): 1.90
# Total DFT energy (no corrections) (eV/atom): -6.16

# 2
# TcSeCl3 | Alexandria | GGA-PBE | optimized geometry
data_TcSeCl3
_chemical_formula_sum 'Tc4 Se4 Cl12'
_symmetry_space_group_name_H-M 'P 1'
_symmetry_Int_Tables_number 1
_cell_length_a 7.4481
_cell_length_b 8.6402
_cell_length_c 10.4942
_cell_angle_alpha 90.00
_cell_angle_beta 93.50
_cell_angle_gamma 90.00
loop_
_symmetry_equiv_pos_as_xyz
'x,y,z'
loop_
_atom_site_label
_atom_site_type_symbol
_atom_site_fract_x
_atom_site_fract_y
_atom_site_fract_z
_atom_site_occupancy
Tc1 Tc 0.0632 0.1447 0.3755 1
Tc2 Tc 0.0632 0.8553 0.8755 1
Tc3 Tc 0.9368 0.1447 0.1245 1
Tc4 Tc 0.9368 0.8553 0.6245 1
Se1 Se 0.0612 0.4248 0.3533 1
Se2 Se 0.0612 0.5752 0.8533 1
Se3 Se 0.9388 0.4248 0.1467 1
Se4 Se 0.9388 0.5752 0.6467 1
Cl1 Cl 0.0739 0.1436 0.9161 1
Cl2 Cl 0.0739 0.8564 0.4161 1
Cl3 Cl 0.2419 0.1181 0.2018 1
Cl4 Cl 0.2419 0.8819 0.7018 1
Cl5 Cl 0.3323 0.1800 0.4999 1
Cl6 Cl 0.3323 0.8200 0.9999 1
Cl7 Cl 0.6677 0.1800 0.0001 1
Cl8 Cl 0.6677 0.8200 0.5001 1
Cl9 Cl 0.7581 0.1181 0.2982 1
Cl10 Cl 0.7581 0.8819 0.7982 1
Cl11 Cl 0.9261 0.1436 0.5839 1
Cl12 Cl 0.9261 0.8564 0.0839 1
# Energy relative to the elements, uncorrected (kJ per mole of atoms): -49.62
# D(E_F) (states/eV/atom): 0.367
# Offset from the most stable computed form (eV per formula unit): 0.00
# Total DFT energy (no corrections) (eV/atom): -4.39